# 1
Crystalline TbPrDyAg at its relaxed geometry. Source: Alexandria via LeMat-Bulk, functional GGA-PBE.

Lattice parameters (Å, degrees): 3.6494 3.6494 8.7756 90.00 90.00 90.00
Closest atoms and distances in Å follow each position.
Atoms (fractional coordinates):
Tb 0.0000 0.0000 0.0000  4 Ag 3.16
Pr 0.5000 0.5000 0.2939  4 Dy 3.64, 4 Tb 3.65, 4 Pr 3.65
Dy 0.0000 0.0000 0.5870  4 Ag 3.14
Ag 0.5000 0.5000 0.7913  4 Dy 3.14, 4 Tb 3.16

Calculated values
- Space group: P4mm, No. 99
- Total moment: 0.00 μB per formula unit
- Distance to the lowest polymorph of the same formula: 0.0 kJ/mol of formula units
- ΔE_f: -0.526 eV per formula unit
- DOS at the Fermi energy: 5.682 states/eV/f.u.



# 2
Crystalline ScTa2Hg at its relaxed geometry. Source: Alexandria via LeMat-Bulk, functional GGA-PBE.

Lattice parameters (Å, degrees): 10.1919 10.1919 10.1919 17.17 17.17 17.17
Closest atoms and distances in Å follow each position.
Atoms (fractional coordinates):
Sc 0.0000 0.0000 0.0000  6 Sc 3.04, 6 Ta 3.08
Ta 0.2494 0.2494 0.2494  6 Ta 3.04, 3 Hg 3.05, 3 Sc 3.08
Ta 0.7506 0.7506 0.7506  6 Ta 3.04, 3 Hg 3.05, 3 Sc 3.08
Hg 0.5000 0.5000 0.5000  6 Hg 3.04, 6 Ta 3.05

Calculated values
- Space group: R-3m, No. 166
- Total moment: 0.00 μB per formula unit
- ΔE_f: 1.219 eV per formula unit
- DOS at the Fermi energy: 4.981 states/eV/f.u.



# 3
Crystalline Ba5Pd2Au2 at its relaxed geometry. Source: Alexandria via LeMat-Bulk, functional GGA-PBE.

Lattice parameters (Å, degrees): 9.5101 9.5101 8.6856 90.00 90.00 54.61
Closest atoms and distances in Å follow each position.
Atoms (fractional coordinates):
Ba 0.0000 0.0000 0.0000  2 Au 3.39, 4 Pd 3.47
Ba 0.0337 0.6968 0.6636  3 Pd 3.37-3.49, 3 Au 3.41-3.45
Ba 0.1968 0.5337 0.1636  3 Pd 3.37-3.49, 3 Au 3.41-3.45
Ba 0.3032 0.9663 0.6636  3 Pd 3.37-3.49, 3 Au 3.41-3.45
Ba 0.4663 0.8032 0.1636  3 Pd 3.37-3.49, 3 Au 3.41-3.45
Ba 0.5000 0.5000 0.5000  2 Au 3.39, 4 Pd 3.47
Ba 0.5337 0.1968 0.8364  3 Pd 3.37-3.49, 3 Au 3.41-3.45
Ba 0.6968 0.0337 0.3364  3 Pd 3.37-3.49, 3 Au 3.41-3.45
Ba 0.8032 0.4663 0.8364  3 Pd 3.37-3.49, 3 Au 3.41-3.45
Ba 0.9663 0.3032 0.3364  3 Pd 3.37-3.49, 3 Au 3.41-3.45
Pd 0.1201 0.8799 0.3810  1 Pd 2.94
Pd 0.3799 0.6201 0.8810  1 Pd 2.94
Pd 0.6201 0.3799 0.1190  1 Pd 2.94
Pd 0.8799 0.1201 0.6190  1 Pd 2.94
Au 0.2005 0.2005 0.0000  7 Ba 3.39-3.45
Au 0.2995 0.2995 0.5000  7 Ba 3.39-3.45
Au 0.7005 0.7005 0.5000  7 Ba 3.39-3.45
Au 0.7995 0.7995 0.0000  7 Ba 3.39-3.45

Calculated values
- Space group: Cmce, No. 64
- Total moment: 0.00 μB per formula unit
- ΔE_f: -5.234 eV per formula unit
- DOS at the Fermi energy: 4.094 states/eV/f.u.



# 4
Crystalline CoPtCl2 at its relaxed geometry. Source: Alexandria via LeMat-Bulk, functional GGA-PBE.

Lattice parameters (Å, degrees): 3.2666 3.2666 8.4370 90.00 90.00 114.12
Closest atoms and distances in Å follow each position.
Atoms (fractional coordinates):
Co 0.0000 0.0000 0.0000  2 Cl 2.31, 2 Pt 2.42
Pt 0.5000 0.5000 0.8050  2 Co 2.42, 2 Cl 2.46
Cl 0.0000 0.0000 0.6029  2 Pt 2.46
Cl 0.5000 0.5000 0.1756  2 Co 2.31

Calculated values
- Space group: Cmm2, No. 35
- Total moment: 2.44 μB per formula unit
- Distance to the lowest polymorph of the same formula: 75.7 kJ/mol of formula units
- Formation energy (no corrections): 0.42 eV per formula unit
- DOS at the Fermi energy: 4.832 states/eV/f.u.



# 5
Crystalline BaBeAs2 at its relaxed geometry. Source: Alexandria via LeMat-Bulk, functional GGA-PBE.

Lattice parameters (Å, degrees): 4.5532 4.6245 5.0379 90.00 90.05 90.00
Closest atoms and distances in Å follow each position.
Atoms (fractional coordinates):
Ba 0.0000 0.0000 0.0000  8 As 3.36-3.44
Be 0.4008 0.5000 0.5052  4 As 2.22-2.37
As 0.5129 0.0000 0.4999  2 Be 2.37
As 0.9133 0.5000 0.4997  2 Be 2.22-2.33

Calculated values
- Space group: Pm, No. 6
- Total moment: 0.00 μB per formula unit
- ΔE_f: -1.557 eV per formula unit
- DOS at the Fermi energy: 0.170 states/eV/f.u.



# 6
Crystalline Th2BeAl3 at its relaxed geometry. Source: Alexandria via LeMat-Bulk, functional GGA-PBE.

Lattice parameters (Å, degrees): 8.5455 8.5256 6.0157 69.54 69.19 41.27
Closest atoms and distances in Å follow each position.
Atoms (fractional coordinates):
Th 0.2478 0.7522 0.7522  10 Al 3.22-3.32, 2 Be 3.26
Th 0.2500 0.2500 0.2500  8 Al 3.21, 4 Be 3.25
Th 0.7500 0.7500 0.7500  8 Al 3.21, 4 Be 3.25
Th 0.7522 0.2478 0.2478  10 Al 3.22-3.32, 2 Be 3.26
Be 0.3333 0.3333 0.6667  3 Al 2.36
Be 0.6667 0.6667 0.3333  3 Al 2.36
Al 0.1735 0.1735 0.8265  1 Be 2.36, 2 Al 2.57
Al 0.1740 0.6525 0.3475  1 Be 2.36, 2 Al 2.57
Al 0.3475 0.8260 0.1740  1 Be 2.36, 2 Al 2.57
Al 0.6525 0.1740 0.8260  1 Be 2.36, 2 Al 2.57
Al 0.8260 0.3475 0.6525  1 Be 2.36, 2 Al 2.57
Al 0.8265 0.8265 0.1735  1 Be 2.36, 2 Al 2.57

Calculated values
- Space group: Fmmm, No. 69
- Total moment: 0.00 μB per formula unit
- ΔE_f: -2.029 eV per formula unit
- DOS at the Fermi energy: 4.172 states/eV/f.u.



# 7
Crystalline AcNdEuTh at its relaxed geometry. Source: Alexandria via LeMat-Bulk, functional GGA-PBE.

Lattice parameters (Å, degrees): 5.9860 5.9860 5.9860 60.00 60.00 60.00
Closest atoms and distances in Å follow each position.
Atoms (fractional coordinates):
Ac 0.0000 0.0000 0.0000  4 Eu 3.67, 4 Th 3.67
Nd 0.5000 0.5000 0.5000  4 Eu 3.67, 4 Th 3.67
Eu 0.7500 0.7500 0.7500  4 Ac 3.67, 4 Nd 3.67
Th 0.2500 0.2500 0.2500  4 Ac 3.67, 4 Nd 3.67

Calculated values
- Space group: F-43m, No. 216
- Total moment: 6.32 μB per formula unit
- ΔE_f: 1.000 eV per formula unit
- DOS at the Fermi energy: 9.285 states/eV/f.u.



# 8
Crystalline MgSnPdPt at its relaxed geometry. Source: Alexandria via LeMat-Bulk, functional GGA-PBE.

Lattice parameters (Å, degrees): 4.5974 4.5974 4.5974 60.00 60.00 60.00
Closest atoms and distances in Å follow each position.
Atoms (fractional coordinates):
Mg 0.0000 0.0000 0.0000  4 Pd 2.82, 4 Pt 2.82
Sn 0.5000 0.5000 0.5000  4 Pt 2.82, 4 Pd 2.82
Pd 0.2500 0.2500 0.2500  4 Sn 2.82, 4 Mg 2.82
Pt 0.7500 0.7500 0.7500  4 Sn 2.82, 4 Mg 2.82

Calculated values
- Space group: F-43m, No. 216
- Total moment: 0.00 μB per formula unit
- ΔE_f: -2.683 eV per formula unit
- DOS at the Fermi energy: 2.605 states/eV/f.u.